No. 1
First-principles (PBE-GGA) data for a relaxed SrSnAs2Se crystal, as listed in Alexandria.

a = 5.2567 Å, b = 5.2567 Å, c = 5.4524 Å
α = 90.00°, β = 90.00°, γ = 90.00°
With the nearest neighbours (Å) after each atom.
Element x y z (fractional)
Sr 0.0000 0.0000 0.0000  4 Se 3.72, 8 As 3.79
Sn 0.5000 0.5000 0.5000  4 As 2.63, 2 Se 2.73
As 0.0000 0.5000 0.5000  2 Sn 2.63
As 0.5000 0.0000 0.5000  2 Sn 2.63
Se 0.5000 0.5000 0.0000  2 Sn 2.73

Properties
As for the energy above the most stable polymorph in this dataset: 0.00 kcal/mol of atoms. The energy relative to the elements, uncorrected is -0.1269 eV per atom.

***

No. 2
First-principles (PBE-GGA) data for a relaxed ScZnFe crystal, as listed in Alexandria.

a = 5.1166 Å, b = 5.1166 Å, c = 5.1166 Å
α = 143.33°, β = 143.33°, γ = 52.83°
With the nearest neighbours (Å) after each atom.
Element x y z (fractional)
Sc 0.0000 0.0000 0.0000  5 Fe 2.77-3.01, 5 Zn 2.81-2.89
Zn 0.3066 0.3066 0.0000  4 Fe 2.59, 5 Sc 2.81-2.89
Fe 0.6715 0.6715 0.0000  4 Zn 2.59, 4 Sc 2.77

Properties
The value obtained for the energy of formation is -10.0 kJ/mol of atoms.

***

No. 3
First-principles (PBE-GGA) data for a relaxed Rb2GePbS4 crystal, as listed in Alexandria.

a = 9.5713 Å, b = 8.8259 Å, c = 6.6525 Å
α = 90.00°, β = 90.00°, γ = 90.00°
With the nearest neighbours (Å) after each atom.
Element x y z (fractional)
Rb 0.2425 0.1662 0.0000  5 S 3.16-3.49
Rb 0.2575 0.8338 0.5000  5 S 3.16-3.49
Rb 0.7425 0.8338 0.5000  5 S 3.16-3.49
Rb 0.7575 0.1662 0.0000  5 S 3.16-3.49
Ge 0.0000 0.6551 0.0524  4 S 2.23-2.28
Ge 0.5000 0.3449 0.5524  4 S 2.23-2.28
Pb 0.0000 0.3446 0.5215  2 S 2.61-2.73
Pb 0.5000 0.6554 0.0215  2 S 2.61-2.73
S 0.0000 0.4179 0.9206  1 Ge 2.27
S 0.0000 0.6242 0.3923  1 Ge 2.28
S 0.1957 0.7842 0.9874  1 Ge 2.23
S 0.3043 0.2158 0.4874  1 Ge 2.23
S 0.5000 0.3758 0.8923  1 Ge 2.28
S 0.5000 0.5821 0.4206  1 Ge 2.27
S 0.6957 0.2158 0.4874  1 Ge 2.23
S 0.8043 0.7842 0.9874  1 Ge 2.23

Properties
The energy relative to the elements, uncorrected is -0.7590 eV per atom.

***

no.,M_tot (μB per cell),density of states at the Fermi level (states/eV per atom)
1,0.000,1.04
2,1.769,0.91
3,0.000,0.00